Computed, not measured: a geometry-optimized PbBr3O structure at the GGA-PBE level of DFT.

Output
The calculation puts the offset from the most stable computed form at 217 meV/atom. As for the energy relative to the elements, uncorrected: 265 meV/atom. The calculation puts the magnetization at 0.449 μB per atom. As for the density of states at the Fermi level: 1.466 states/eV/atom. The value obtained for the raw total energy is -12.4 eV for the cell shown.

The structure in CIF format:
```
data_PbBr3O
_cell_length_a 5.731
_cell_length_b 5.731
_cell_length_c 5.731
_cell_angle_alpha 90.00
_cell_angle_beta 90.00
_cell_angle_gamma 90.00
_space_group_name_H-M_alt 'P m -3 m'
_space_group_IT_number 221
_space_group_name_Hall '-P 4 2 3'
loop_
_atom_site_label
_atom_site_type_symbol
_atom_site_fract_x
_atom_site_fract_y
_atom_site_fract_z
Pb1 Pb 0.000 0.000 0.000
Br1 Br 0.000 0.000 0.500
O1 O 0.500 0.500 0.500
```


Computed, not measured: a geometry-optimized Dy3Er5Tm4 structure at the GGA-PBE level of DFT.

Output
The calculation puts the offset from the most stable computed form at 0 meV/atom. The calculation puts the energy relative to the elements at 0.02 eV per atom. The calculation puts the magnetization at 0.000 μB per atom. As for the density of states at the Fermi level: 1.315 states/eV/atom. The value obtained for the raw total energy is -54.2 eV for the cell shown.

The structure in CIF format:
```
data_Dy3Er5Tm4
_cell_length_a 6.061
_cell_length_b 7.010
_cell_length_c 8.567
_cell_angle_alpha 89.96
_cell_angle_beta 89.96
_cell_angle_gamma 89.92
_space_group_name_H-M_alt 'P -1'
_space_group_IT_number 2
_space_group_name_Hall '-P 1'
loop_
_atom_site_label
_atom_site_type_symbol
_atom_site_fract_x
_atom_site_fract_y
_atom_site_fract_z
Dy1 Dy 0.000 0.000 0.000
Dy2 Dy 0.166 0.251 0.334
Er1 Er 0.000 0.500 0.000
Er2 Er 0.334 0.000 0.666
Er3 Er 0.499 0.750 0.000
Tm1 Tm 0.167 0.750 0.334
Tm2 Tm 0.333 0.500 0.666
```


Computed, not measured: a geometry-optimized Cs2PaSiN4 structure at the GGA-PBE level of DFT.

Output
As for the energy relative to the elements, uncorrected: -582 meV/atom. The calculation puts the magnetization at 0.000 μB per atom. As for the density of states at the Fermi level: 0.481 states/eV/atom. The value obtained for the raw total energy is -109.2 eV for the cell shown.

The structure in CIF format:
```
data_Cs2PaSiN4
_cell_length_a 6.407
_cell_length_b 6.958
_cell_length_c 7.622
_cell_angle_alpha 90.00
_cell_angle_beta 90.00
_cell_angle_gamma 90.00
_space_group_name_H-M_alt 'P m m n'
_space_group_IT_number 59
loop_
_space_group_symop_operation_xyz
'x,y,z'
'-x,-y,-z'
'-x+1/2,-y+1/2,z'
'x+1/2,y+1/2,-z'
'x+1/2,-y,-z'
'-x+1/2,y,z'
'-x,y+1/2,-z'
'x,-y+1/2,z'
loop_
_atom_site_label
_atom_site_type_symbol
_atom_site_fract_x
_atom_site_fract_y
_atom_site_fract_z
Cs1 Cs 0.250 0.000 0.192
Pa1 Pa 0.250 0.250 0.637
Si1 Si 0.250 0.750 0.650
N1 N 0.021 0.750 0.520
N2 N 0.250 0.530 0.767
```